! LiMo2H, relaxed, DFT PBE; values from VASP
! Calculated total energy ... -5.9585 eV/atom
! SG ... Fd-3m
! Calculated volume ... 124 Å³ per cell
! Energy above the most stable polymorph in this dataset ... 0.00 eV/f.u.
! Spin magnetization ... 0.00 μB per atom
&SYSTEM
  ibrav = 0, nat = 8, ntyp = 3
/
ATOMIC_SPECIES
Li 6.94 Li.upf
Mo 95.94 Mo.upf
H 1.01 H.upf
CELL_PARAMETERS angstrom
0.0000 3.9541 3.9541
3.9541 0.0000 3.9541
3.9541 3.9541 0.0000
ATOMIC_POSITIONS crystal
Li 0.1250 0.1250 0.1250
Li 0.8750 0.8750 0.8750
Mo 0.0000 0.5000 0.5000
Mo 0.5000 0.0000 0.5000
Mo 0.5000 0.5000 0.0000
Mo 0.5000 0.5000 0.5000
H 0.3750 0.3750 0.3750
H 0.6250 0.6250 0.6250